# KIrOsC2, relaxed, DFT PBE
data_KIrOsC2
_cell_length_a 4.068
_cell_length_b 4.905
_cell_length_c 4.068
_cell_angle_alpha 90.00
_cell_angle_beta 90.00
_cell_angle_gamma 90.00
_space_group_name_H-M_alt 'P 1'
_space_group_IT_number 1
loop_
_space_group_symop_operation_xyz
'x,y,z'
loop_
_atom_site_label
_atom_site_type_symbol
_atom_site_fract_x
_atom_site_fract_y
_atom_site_fract_z
K1 K 0.000 0.000 0.000
Ir1 Ir 0.000 0.500 0.000
Os1 Os 0.500 0.500 0.500
C1 C 0.000 0.000 0.500
C2 C 0.500 0.000 0.000
# Calculated volume, A^3/atom: 16.2
# Energy of formation from the pure elements, eV/atom: 4.533
# DOS at the Fermi energy, states/eV/f.u.: 10.41
# M_tot, μB per atom: 0.00